Density functional theory data (PBE+U) for an optimized crystal structure of TiCrSO2.

M_tot: 4.08 μB/cell
Raw total energy: -7.255 eV per atom

a b c (Å): 3.6721 3.6721 8.5666
angles (deg): 90.00 90.00 90.00
With the nearest neighbours (Å) after each atom.
Space group P4/mmm (No. 123)
Inequivalent atoms, fractional coordinates:
Ti1 0.0000 0.0000 0.0000 (multiplicity 1)  4 O 1.84
Cr1 0.0000 0.0000 0.5000 (multiplicity 1)  4 S 2.60
S1 0.5000 0.5000 0.5000 (multiplicity 1)  4 Cr 2.60
O1 0.0000 0.5000 0.0000 (multiplicity 2)  2 Ti 1.84